Below is crystalline Cs3Fe2PbF9 at its relaxed geometry, with properties calculated at the GGA+U level.

Lattice parameters (Å, degrees): 6.3927 6.3927 7.7462 90.00 90.00 120.00
Last column: nearest neighbours and their distance in Å.
Fractional positions:
Cs  0.3333  0.6667  0.6733  12 F 3.13-3.30
Cs  0.0000  0.0000  0.0000  12 F 3.11-3.20
Cs  0.6667  0.3333  0.3267  12 F 3.13-3.30
Fe  0.3333  0.6667  0.1506  6 F 2.11-2.18
Fe  0.6667  0.3333  0.8494  6 F 2.11-2.18
Pb  0.0000  0.0000  0.5000  6 F 2.46
F  0.8215  0.1785  0.6901  1 Fe 2.11
F  0.8215  0.6430  0.6901  1 Fe 2.11
F  0.3570  0.1785  0.6901  1 Fe 2.11
F  0.6430  0.8215  0.3099  1 Fe 2.11
F  0.1785  0.3570  0.3099  1 Fe 2.11
F  0.1785  0.8215  0.3099  1 Fe 2.11
F  0.5000  0.0000  0.0000  2 Fe 2.18
F  0.0000  0.5000  0.0000  2 Fe 2.18
F  0.5000  0.5000  0.0000  2 Fe 2.18

Summary:
Total magnetic moment, μB per formula unit: 8.00
Energy, Ha/atom: -0.17879
Calculated volume, Å³ per cell: 274.2
Symmetry: P-3m1 (164)